Entry 1:
9
Lattice="3.613 0.000 0.000 -1.806 3.129 0.000 0.000 0.000 26.618" Properties=species:S:1:pos:R:3 comment="La2Y6Tm PBE-GGA optimized geometry" e_above_lowest_polymorph_ev_per_atom=0.000 sg=P-6m2 total_magnetization_mub_per_atom=0.0501 e_tot_ev_per_atom=-5.84 mass_density_g_cm3=5.41 pbc="T T T"
La 0.000 0.000 4.582
La 0.000 0.000 22.036
Y 0.000 0.000 10.504
Y 0.000 0.000 16.114
Y 1.806 1.043 1.665
Y 1.806 1.043 7.680
Y 1.806 1.043 18.937
Y 1.806 1.043 24.953
Tm 1.806 1.043 13.309

=====

Entry 2:
4
Lattice="0.000 3.408 3.408 3.408 0.000 3.408 3.408 3.408 0.000" Properties=species:S:1:pos:R:3 comment="TbZrCuPt PBE-GGA optimized geometry" sg=F-43m total_magnetization_mub_per_atom=0.0000 e_tot_ev_per_atom=-6.41 mass_density_g_cm3=10.67 pbc="T T T"
Tb 0.000 0.000 0.000
Zr 3.408 3.408 3.408
Cu 5.112 5.112 5.112
Pt 1.704 1.704 1.704

=====

Entry 3:
5
Lattice="6.833 0.000 0.000 0.000 6.833 0.000 0.000 0.000 5.555" Properties=species:S:1:pos:R:3 comment="KRb2PbW PBE-GGA optimized geometry" sg=P4/mmm total_magnetization_mub_per_atom=0.6706 e_tot_ev_per_atom=-2.96 mass_density_g_cm3=3.85 pbc="T T T"
K 0.000 0.000 0.000
Rb 0.000 3.417 2.778
Rb 3.417 0.000 2.778
Pb 3.417 3.417 0.000
W 3.417 3.417 2.778

=====

Entry 4:
4
Lattice="4.750 0.000 0.000 0.000 4.750 0.000 0.000 0.000 3.318" Properties=species:S:1:pos:R:3 comment="TaReSb2 PBE-GGA optimized geometry" e_above_lowest_polymorph_ev_per_atom=0.348 sg=P4/mmm total_magnetization_mub_per_atom=0.0000 e_tot_ev_per_atom=-7.75 mass_density_g_cm3=13.55 pbc="T T T"
Ta 0.000 0.000 0.000
Re 2.375 2.375 0.000
Sb 0.000 2.375 1.659
Sb 2.375 0.000 1.659

=====

Entry 5:
5
Lattice="-1.833 1.833 10.746 1.833 -1.833 10.746 1.833 1.833 -10.746" Properties=species:S:1:pos:R:3 comment="K2As2Ru PBE-GGA optimized geometry" e_above_lowest_polymorph_ev_per_atom=0.919 sg=I4/mmm total_magnetization_mub_per_atom=0.3758 e_tot_ev_per_atom=-3.46 mass_density_g_cm3=3.79 pbc="T T T"
K 0.000 0.000 2.377
K 0.000 0.000 19.114
As 1.833 0.000 5.373
As 0.000 1.833 5.373
Ru 0.000 0.000 10.746

=====

Entry 6:
8
Lattice="-2.503 2.503 5.937 2.503 -2.503 5.937 2.503 2.503 -5.937" Properties=species:S:1:pos:R:3 comment="Pt2AuN PBE-GGA optimized geometry" sg=I-42d total_magnetization_mub_per_atom=0.0000 e_tot_ev_per_atom=-5.25 mass_density_g_cm3=13.42 pbc="T T T"
Pt 0.410 1.251 1.484
Pt -1.251 2.093 4.452
Pt -0.410 3.754 1.484
Pt 1.251 2.913 4.452
Au 2.503 0.000 2.968
Au 0.000 0.000 5.937
N 0.000 0.000 0.000
N 0.000 2.503 2.968

=====

Entry 7:
4
Lattice="-1.917 1.917 4.743 1.917 -1.917 4.743 1.917 1.917 -4.743" Properties=species:S:1:pos:R:3 comment="SrCoOs2 PBE-GGA optimized geometry" e_above_lowest_polymorph_ev_per_atom=0.922 sg=I4/mmm total_magnetization_mub_per_atom=0.3916 e_tot_ev_per_atom=-6.62 mass_density_g_cm3=12.55 pbc="T T T"
Sr 0.000 0.000 0.000
Co 0.000 0.000 4.743
Os 1.917 0.000 2.372
Os 0.000 1.917 2.372

=====

Entry 8:
4
Lattice="3.051 0.000 0.000 0.000 3.051 0.000 0.000 0.000 9.584" Properties=species:S:1:pos:R:3 comment="CdWCl2 PBE-GGA optimized geometry" e_above_lowest_polymorph_ev_per_atom=0.477 sg=P4/mmm total_magnetization_mub_per_atom=0.1462 e_tot_ev_per_atom=-3.99 mass_density_g_cm3=6.84 pbc="T T T"
Cd 0.000 0.000 0.000
W 0.000 0.000 4.792
Cl 1.525 1.525 3.307
Cl 1.525 1.525 6.277

=====

Entry 9:
6
Lattice="-2.003 2.003 8.403 2.003 -2.003 8.403 2.003 2.003 -8.403" Properties=species:S:1:pos:R:3 comment="Ce2ScP3 PBE-GGA optimized geometry" sg=I4/mmm total_magnetization_mub_per_atom=0.1480 e_tot_ev_per_atom=-7.18 mass_density_g_cm3=5.15 pbc="T T T"
Ce 0.000 0.000 2.772
Ce 0.000 0.000 14.034
Sc 0.000 0.000 8.403
P 0.000 0.000 0.000
P 0.000 0.000 5.696
P 0.000 0.000 11.110

=====

Entry 10:
5
Lattice="4.938 0.000 0.000 0.000 4.938 0.000 0.000 0.000 5.140" Properties=species:S:1:pos:R:3 comment="LaGeAs2Se PBE-GGA optimized geometry" e_above_lowest_polymorph_ev_per_atom=0.000 sg=P4/mmm total_magnetization_mub_per_atom=0.0000 e_tot_ev_per_atom=-4.78 mass_density_g_cm3=5.84 pbc="T T T"
La 0.000 0.000 0.000
Ge 2.469 2.469 2.570
As 0.000 2.469 2.570
As 2.469 0.000 2.570
Se 2.469 2.469 0.000

=====

Entry 11:
8
Lattice="3.720 0.000 0.000 -1.853 5.947 0.000 -0.027 -1.558 9.311" Properties=species:S:1:pos:R:3 comment="BiRhSe2 PBE-GGA optimized geometry" sg=P1 total_magnetization_mub_per_atom=0.0000 e_tot_ev_per_atom=-4.81 mass_density_g_cm3=7.57 pbc="T T T"
Bi 0.000 0.000 0.000
Bi -0.042 4.260 3.809
Rh -0.019 2.374 8.673
Rh 1.840 3.460 6.705
Se -0.045 0.211 3.037
Se -0.018 1.867 6.311
Se 1.834 -0.826 6.385
Se 1.869 2.908 0.633

=====

Entry 12:
10
Lattice="6.050 -4.326 0.000 6.050 4.326 0.000 -6.022 0.000 6.062" Properties=species:S:1:pos:R:3 comment="Pr3NdCo PBE-GGA optimized geometry" e_above_lowest_polymorph_ev_per_atom=0.000 sg=C2/m total_magnetization_mub_per_atom=0.0000 e_tot_ev_per_atom=-5.28 mass_density_g_cm3=6.55 pbc="T T T"
Pr -1.486 0.000 2.044
Pr 1.774 1.774 1.263
Pr 1.774 -1.774 1.263
Pr 4.303 1.774 4.799
Pr 4.303 -1.774 4.799
Pr 7.563 0.000 4.018
Nd 1.000 0.000 4.544
Nd 5.077 0.000 1.518
Co -2.220 0.000 5.288
Co 8.297 0.000 0.774